Compound: Pu2GeH2
Source: Alexandria
Functional: PBE-GGA
Structure: optimized geometry

Crystal system: triclinic
Energy above the lowest structure with this stoichiometry: 0.0000 eV/atom

a = 3.136 Å, b = 7.146 Å, c = 9.006 Å
α = 114.07°, β = 100.03°, γ = 115.18°
Last column: magnetic moment on the atom in μB.
Fractional coordinates of all 10 atoms:
1 Pu 0.854 0.213 0.285  5.53
2 Pu 0.354 0.713 0.285  5.53
3 Pu 0.146 0.787 0.715  5.53
4 Pu 0.646 0.287 0.715  5.53
5 Ge 0.750 0.750 0.000  -0.10
6 Ge 0.250 0.250 0.000  -0.10
7 H 0.249 0.448 0.596  -0.03
8 H 0.251 0.052 0.404  -0.03
9 H 0.751 0.552 0.404  -0.03
10 H 0.749 0.948 0.596  -0.03